i | Compound: RhAu2Br
Source: the Alexandria database
Functional: PBE-GGA
Structure: relaxed

Results
total moment = 0.2477 μB/atom
SG = Fm-3m

Lattice parameters (Å, degrees): 4.741 4.741 4.741 60.00 60.00 60.00
Fractional positions:
Br  0.000  0.000  0.000
Rh  0.500  0.500  0.500
Au  0.250  0.250  0.250
Au  0.750  0.750  0.750



ii | Compound: RhAu2Br
Source: the Alexandria database
Functional: PBE-GGA
Structure: relaxed

Results
total moment = 0.3355 μB/atom
SG = I-4m2

Lattice parameters (Å, degrees): 4.730 4.730 4.730 120.22 120.22 89.61
Fractional positions:
Br  0.500  0.500  0.000
Au  0.000  0.000  0.000
Au  0.250  0.750  0.500
Rh  0.750  0.250  0.500



Of them, i has the lowest stability.



i | Compound: Rh2AuBr
Source: the Alexandria database
Functional: PBE-GGA
Structure: relaxed

Results
total moment = 0.0000 μB/atom
SG = R-3m

Lattice parameters (Å, degrees): 8.584 8.584 8.584 20.35 20.35 20.35
Fractional positions:
Rh  0.003  0.003  0.003
Au  0.250  0.250  0.250
Br  0.750  0.750  0.750
Rh  0.497  0.497  0.497



ii | Compound: Rh2AuBr
Source: the Alexandria database
Functional: PBE-GGA
Structure: relaxed

Results
total moment = 0.0000 μB/atom
SG = Pm

Lattice parameters (Å, degrees): 4.275 3.202 5.595 66.04 90.00 90.00
Fractional positions:
Rh  0.000  0.188  0.926
Br  0.500  0.711  0.844
Au  0.000  0.518  0.405
Rh  0.500  0.083  0.325



iii | Compound: Rh2AuBr
Source: the Alexandria database
Functional: PBE-GGA
Structure: relaxed

Results
total moment = 0.0000 μB/atom
SG = P4mm

Lattice parameters (Å, degrees): 3.000 3.000 8.117 90.00 90.00 90.00
Fractional positions:
Br  0.500  0.500  0.803
Au  0.000  0.000  0.451
Rh  0.000  0.000  0.026
Rh  0.500  0.500  0.220



iv | Compound: Rh2AuBr
Source: the Alexandria database
Functional: PBE-GGA
Structure: relaxed

Results
total moment = 0.0000 μB/atom
SG = Pmmm

Lattice parameters (Å, degrees): 3.397 3.177 6.780 90.01 90.00 90.00
Fractional positions:
Br  0.500  0.750  0.750
Au  0.500  0.250  0.250
Rh  0.000  0.750  0.037
Rh  0.000  0.750  0.463



Of them, ii has the lowest stability.



i | Compound: Rh2AuBr
Source: the Alexandria database
Functional: PBE-GGA
Structure: relaxed

Results
total moment = 0.5661 μB/atom
SG = I-4m2

Lattice parameters (Å, degrees): 5.089 5.089 5.089 132.98 132.98 68.69
Fractional positions:
Au  0.500  0.500  0.000
Br  0.750  0.250  0.500
Rh  0.000  0.000  0.000
Rh  0.250  0.750  0.500



ii | Compound: Rh2AuBr
Source: the Alexandria database
Functional: PBE-GGA
Structure: relaxed

Results
total moment = 0.0007 μB/atom
SG = Imm2

Lattice parameters (Å, degrees): 5.666 5.666 5.666 150.15 130.37 59.00
Fractional positions:
Rh  0.770  0.270  0.500
Au  0.507  0.507  0.000
Rh  0.999  0.999  0.000
Br  0.224  0.724  0.500



iii | Compound: Rh2AuBr
Source: the Alexandria database
Functional: PBE-GGA
Structure: relaxed

Results
total moment = 0.0000 μB/atom
SG = Cmm2

Lattice parameters (Å, degrees): 2.884 2.884 10.116 90.00 90.00 120.42
Fractional positions:
Au  0.000  0.000  0.467
Rh  0.000  0.000  0.014
Br  0.500  0.500  0.792
Rh  0.500  0.500  0.226



iv | Compound: Rh2AuBr
Source: the Alexandria database
Functional: PBE-GGA
Structure: relaxed

Results
total moment = 0.3481 μB/atom
SG = F-43m

Lattice parameters (Å, degrees): 4.601 4.601 4.601 60.00 60.00 60.00
Fractional positions:
Br  0.750  0.750  0.750
Au  0.500  0.500  0.500
Rh  0.000  0.000  0.000
Rh  0.250  0.250  0.250



Of them, iv has the lowest stability.



i | Compound: Rh2AuBr2
Source: the Alexandria database
Functional: PBE-GGA
Structure: relaxed

Results
total moment = 0.2877 μB/atom
SG = I4/mmm

Lattice parameters (Å, degrees): 3.627 3.627 8.385 77.51 77.51 90.00
Fractional positions:
Rh  0.750  0.250  0.500
Br  0.385  0.385  0.230
Rh  0.250  0.750  0.500
Br  0.615  0.615  0.770
Au  0.000  0.000  0.000



ii | Compound: Rh2AuBr2
Source: the Alexandria database
Functional: PBE-GGA
Structure: relaxed

Results
total moment = 0.0000 μB/atom
SG = P4/mbm

Lattice parameters (Å, degrees): 7.772 7.772 3.091 90.00 90.00 90.00
Fractional positions:
Br  0.361  0.861  0.000
Au  0.500  0.500  0.000
Rh  0.182  0.682  0.500
Rh  0.318  0.182  0.500
Rh  0.682  0.818  0.500
Br  0.861  0.639  0.000
Au  0.000  0.000  0.000
Rh  0.818  0.318  0.500
Br  0.139  0.361  0.000
Br  0.639  0.139  0.000



Of them, ii has the lowest stability.



i | Compound: RhAu3Br
Source: the Alexandria database
Functional: PBE-GGA
Structure: relaxed

Results
total moment = 0.0000 μB/atom
SG = Pm-3m

Lattice parameters (Å, degrees): 4.984 4.984 4.984 90.00 90.00 90.00
Fractional positions:
Au  0.500  0.000  0.000
Rh  0.500  0.500  0.500
Br  0.000  0.000  0.000
Au  0.000  0.000  0.500
Au  0.000  0.500  0.000



ii | Compound: RhAu3Br
Source: the Alexandria database
Functional: PBE-GGA
Structure: relaxed

Results
total moment = 0.2106 μB/atom
SG = Pm-3m

Lattice parameters (Å, degrees): 5.060 5.060 5.060 90.00 90.00 90.00
Fractional positions:
Au  0.500  0.000  0.000
Au  0.000  0.500  0.000
Rh  0.000  0.000  0.000
Au  0.000  0.000  0.500
Br  0.500  0.500  0.500



Of them, i has the lowest stability.



i | Compound: Rh3AuBr
Source: the Alexandria database
Functional: PBE-GGA
Structure: relaxed

Results
total moment = 0.8312 μB/atom
SG = Pm-3m

Lattice parameters (Å, degrees): 4.969 4.969 4.969 90.00 90.00 90.00
Fractional positions:
Br  0.500  0.500  0.500
Rh  0.500  0.000  0.000
Rh  0.000  0.000  0.500
Au  0.000  0.000  0.000
Rh  0.000  0.500  0.000



ii | Compound: Rh3AuBr
Source: the Alexandria database
Functional: PBE-GGA
Structure: relaxed

Results
total moment = 0.0000 μB/atom
SG = Pm-3m

Lattice parameters (Å, degrees): 4.580 4.580 4.580 90.00 90.00 90.00
Fractional positions:
Rh  0.000  0.500  0.000
Au  0.500  0.500  0.500
Rh  0.500  0.000  0.000
Br  0.000  0.000  0.000
Rh  0.000  0.000  0.500



Of them, i has the lowest stability.